Record 1
The following is a DFT calculation (SCAN) of a PBEsol-optimized structure of BaLa2Re.

Computed properties:
Crystal system ... trigonal
Magnetization ... 0.0003 μB/atom
Symmetry ... R-3m (166)
Formation enthalpy at 0 K ... 0.3599 eV per atom
E above lowest polymorph ... 0.0 meV/atom

Lattice parameters (Å, degrees): 4.2352 4.2352 9.8555 77.59 77.59 60.00
With the nearest neighbours (Å) after each atom.
Fractional positions:
Re  0.5000  0.5000  0.5000  6 La 2.84
Ba  0.0000  0.0000  0.0000  6 La 4.13, 6 Ba 4.24
La  0.2171  0.2171  0.3488  3 Re 2.84
La  0.7829  0.7829  0.6512  3 Re 2.84

Record 2
The following is a DFT calculation (SCAN) of a PBEsol-optimized structure of BaLa2Re.

Computed properties:
Crystal system ... tetragonal
Magnetization ... 0.0000 μB/atom
Symmetry ... I4/mmm (139)
Formation enthalpy at 0 K ... 0.5934 eV per atom
E above lowest polymorph ... 233.5 meV/atom

Lattice parameters (Å, degrees): 5.3091 5.3213 5.3091 60.08 90.00 119.92
With the nearest neighbours (Å) after each atom.
Fractional positions:
Re  0.5000  0.0000  0.5000  8 La 3.26
Ba  0.0000  0.0000  0.0000  8 La 3.26
La  0.2500  0.5000  0.2500  4 Ba 3.26, 4 Re 3.26
La  0.7500  0.5000  0.7500  4 Ba 3.26, 4 Re 3.26

Record 3
The following is a DFT calculation (SCAN) of a PBEsol-optimized structure of BaLaRh4.

Computed properties:
Crystal system ... cubic
Magnetization ... 0.0001 μB/atom
Symmetry ... F-43m (216)
Formation enthalpy at 0 K ... -0.4161 eV per atom

Lattice parameters (Å, degrees): 5.4264 5.4264 5.4264 60.00 60.00 60.00
With the nearest neighbours (Å) after each atom.
Fractional positions:
Ba  0.7500  0.7500  0.7500  12 Rh 3.18, 4 La 3.32
La  0.0000  0.0000  0.0000  12 Rh 3.18, 4 Ba 3.32
Rh  0.3746  0.3746  0.3746  6 Rh 2.70-2.72
Rh  0.3746  0.3746  0.8762  6 Rh 2.70-2.72
Rh  0.8762  0.3746  0.3746  6 Rh 2.70-2.72
Rh  0.3746  0.8762  0.3746  6 Rh 2.70-2.72

Record 4
The following is a DFT calculation (SCAN) of a PBEsol-optimized structure of BaLa4Ru.

Computed properties:
Crystal system ... cubic
Magnetization ... 0.0002 μB/atom
Symmetry ... F-43m (216)
Formation enthalpy at 0 K ... 0.7456 eV per atom

Lattice parameters (Å, degrees): 6.3114 6.3114 6.3114 60.00 60.00 60.00
With the nearest neighbours (Å) after each atom.
Fractional positions:
Ba  0.0000  0.0000  0.0000  12 La 3.71, 4 Ru 3.86
La  0.3773  0.3773  0.3773  6 La 3.10-3.21
La  0.3773  0.3773  0.8680  6 La 3.10-3.21
La  0.8680  0.3773  0.3773  6 La 3.10-3.21
La  0.3773  0.8680  0.3773  6 La 3.10-3.21
Ru  0.7500  0.7500  0.7500  12 La 3.69, 4 Ba 3.86

Record 5
The following is a DFT calculation (SCAN) of a PBEsol-optimized structure of BaLaRu2.

Computed properties:
Crystal system ... tetragonal
Magnetization ... 0.3597 μB/atom
Symmetry ... P4mm (99)
Formation enthalpy at 0 K ... 0.3173 eV per atom

Lattice parameters (Å, degrees): 3.5079 3.5079 8.6343 90.00 90.00 90.00
With the nearest neighbours (Å) after each atom.
Fractional positions:
Ba  0.0000  0.0000  0.4287  5 Ru 3.13-3.45
La  0.5000  0.5000  0.8545  1 Ru 2.56
Ru  0.0000  0.0000  0.0664  4 Ru 2.58
Ru  0.5000  0.5000  0.1505  1 La 2.56, 4 Ru 2.58

Record 6
The following is a DFT calculation (SCAN) of a PBEsol-optimized structure of Ba2LaScRu.

Computed properties:
Crystal system ... tetragonal
Magnetization ... 0.5581 μB/atom
Symmetry ... P4/mmm (123)
Formation enthalpy at 0 K ... 1.3806 eV per atom

Lattice parameters (Å, degrees): 5.4844 5.8233 5.8233 90.00 90.00 90.00
With the nearest neighbours (Å) after each atom.
Fractional positions:
Sc  0.0000  0.0000  0.0000  2 La 2.74, 4 Ba 2.91
Ru  0.5000  0.5000  0.5000  8 Ba 4.00, 4 La 4.12
Ba  0.0000  0.0000  0.5000  2 Sc 2.91
Ba  0.0000  0.5000  0.0000  2 Sc 2.91
La  0.5000  0.0000  0.0000  2 Sc 2.74

Record 7
The following is a DFT calculation (SCAN) of a PBEsol-optimized structure of BaLa2TeRu.

Computed properties:
Crystal system ... tetragonal
Magnetization ... 0.0000 μB/atom
Symmetry ... P4/mmm (123)
Formation energy without anion corrections ... -0.6563 eV per atom

Lattice parameters (Å, degrees): 5.2375 5.2375 6.1937 90.00 90.00 90.00
With the nearest neighbours (Å) after each atom.
Fractional positions:
Ru  0.0000  0.0000  0.0000  4 La 2.62
Te  0.5000  0.5000  0.5000  4 Ba 3.70, 8 La 4.06
Ba  0.0000  0.0000  0.5000  2 Ru 3.10
La  0.0000  0.5000  0.0000  2 Ru 2.62
La  0.5000  0.0000  0.0000  2 Ru 2.62

Record 8
The following is a DFT calculation (SCAN) of a PBEsol-optimized structure of BaLa2TiS.

Computed properties:
Crystal system ... tetragonal
Magnetization ... 0.0001 μB/atom
Symmetry ... P4/mmm (123)
Formation energy without anion corrections ... 0.1243 eV per atom

Lattice parameters (Å, degrees): 5.2112 5.2112 5.8064 90.00 90.00 90.00
With the nearest neighbours (Å) after each atom.
Fractional positions:
S  0.5000  0.5000  0.5000  4 Ba 3.68, 8 La 3.90
Ti  0.0000  0.0000  0.0000  4 La 2.61, 2 Ba 2.90
Ba  0.0000  0.0000  0.5000  2 Ti 2.90
La  0.0000  0.5000  0.0000  2 Ti 2.61
La  0.5000  0.0000  0.0000  2 Ti 2.61

Record 9
The following is a DFT calculation (SCAN) of a PBEsol-optimized structure of BaLaZnS2.

Computed properties:
Crystal system ... tetragonal
Magnetization ... 0.1951 μB/atom
Symmetry ... P4/mmm (123)
Formation energy without anion corrections ... 0.3760 eV per atom

Lattice parameters (Å, degrees): 5.6560 5.6560 6.0600 90.00 90.00 90.00
With the nearest neighbours (Å) after each atom.
Fractional positions:
S  0.0000  0.5000  0.0000  2 Ba 2.83
S  0.5000  0.0000  0.0000  2 Ba 2.83
Zn  0.5000  0.5000  0.5000  4 La 4.00, 8 S 4.14
Ba  0.0000  0.0000  0.0000  4 S 2.83, 2 La 3.03
La  0.0000  0.0000  0.5000  2 Ba 3.03

Record 10
The following is a DFT calculation (SCAN) of a PBEsol-optimized structure of BaLaSb.

Computed properties:
Crystal system ... tetragonal
Magnetization ... 0.0023 μB/atom
Symmetry ... I4mm (107)
Formation energy without anion corrections ... -0.7216 eV per atom

Lattice parameters (Å, degrees): 4.2266 4.2266 6.9516 107.70 107.70 90.00
With the nearest neighbours (Å) after each atom.
Fractional positions:
Ba  0.0221  0.0221  0.0443  1 La 3.33, 4 Sb 3.66
La  0.2876  0.2876  0.5753  4 Sb 3.23, 1 Ba 3.33
Sb  0.6902  0.6902  0.3804  4 La 3.23

Record 11
The following is a DFT calculation (SCAN) of a PBEsol-optimized structure of Ba4LaSb.

Computed properties:
Crystal system ... cubic
Magnetization ... 0.9490 μB/atom
Symmetry ... F-43m (216)
Formation energy without anion corrections ... 0.1787 eV per atom

Lattice parameters (Å, degrees): 7.1403 7.1403 7.1403 60.00 60.00 60.00
With the nearest neighbours (Å) after each atom.
Fractional positions:
Ba  0.3731  0.3731  0.3731  6 Ba 3.52-3.62
Ba  0.3731  0.3731  0.8806  6 Ba 3.52-3.62
Ba  0.8806  0.3731  0.3731  6 Ba 3.52-3.62
Ba  0.3731  0.8806  0.3731  6 Ba 3.52-3.62
La  0.7500  0.7500  0.7500  12 Ba 4.19, 4 Sb 4.37
Sb  0.0000  0.0000  0.0000  12 Ba 4.18, 4 La 4.37

Record 12
The following is a DFT calculation (SCAN) of a PBEsol-optimized structure of BaLaSb3.

Computed properties:
Crystal system ... cubic
Magnetization ... 0.0000 μB/atom
Symmetry ... Pm-3m (221)
Formation energy without anion corrections ... -0.3548 eV per atom

Lattice parameters (Å, degrees): 5.9085 5.9085 5.9085 90.00 90.00 90.00
With the nearest neighbours (Å) after each atom.
Fractional positions:
Sb  0.0000  0.5000  0.0000  2 La 2.95
Sb  0.0000  0.0000  0.5000  2 La 2.95
Sb  0.5000  0.0000  0.0000  2 La 2.95
Ba  0.5000  0.5000  0.5000  12 Sb 4.18
La  0.0000  0.0000  0.0000  6 Sb 2.95

| no. | E_tot (eV per atom) | volume (Å³ per cell) |
| --- | --- | --- |
| 1 | -48.854 | 148 |
| 2 | -48.621 | 106 |
| 3 | -36.706 | 113 |
| 4 | -40.387 | 178 |
| 5 | -37.760 | 106 |
| 6 | -32.873 | 186 |
| 7 | -40.224 | 170 |
| 8 | -30.159 | 158 |
| 9 | -22.709 | 194 |
| 10 | -40.694 | 112 |
| 11 | -39.582 | 257 |
| 12 | -39.242 | 206 |